First-principles (GGA-PBEsol) data for KOs2Se after structural relaxation, as listed in Alexandria.

## Properties
Raw formation energy = 1080 meV per atom
ρ = 11.7 g cm⁻³
N(E_F) = 14.2 states/eV/cell

Lattice parameters (Å, degrees): 2.9267 2.9267 28.7065 90.00 90.00 120.00
Space group R-3m (No. 166, hexagonal axes)
Inequivalent atoms, fractional coordinates:
K  0.0000  0.0000  0.0000 [3 per cell]
Os  0.0000  0.0000  0.2324 [6 per cell]
Se  0.0000  0.0000  0.5000 [3 per cell]

First-principles (GGA-PBEsol) data for KSiOs after structural relaxation, as listed in Alexandria.

## Properties
Raw formation energy = 1290 meV per atom
ρ = 7.3 g cm⁻³
N(E_F) = 10.3 states/eV/cell

Lattice parameters (Å, degrees): 6.168 6.168 6.168 90.00 90.00 90.00
Space group F-43m (No. 216)
Inequivalent atoms, fractional coordinates:
K  0.000  0.000  0.000 [4 per cell]
Si  0.000  0.000  0.500 [4 per cell]
Os  0.250  0.250  0.750 [4 per cell]

Which value of N(E_F) does entry 2 give?
10.3 states/eV/cell